# 1
Density functional theory data (PBE) for Nd2Er5Sc5 after structural relaxation.

Summary:
For the density, the calculation gives 6.527 g/cm³. As for the crystal system: monoclinic. The formation energy comes out at 0.054 eV per atom.

```
Nd2Er5Sc5
1.0
7.3077 -2.4099 0.0000
7.3077 2.4099 0.0000
-4.8856 0.0000 9.7479
Nd Er Sc
2 5 5
Direct
0.0821 0.0821 0.2521
0.9179 0.9179 0.7479
0.0000 0.0000 0.5000
0.1652 0.1652 0.9985
0.2461 0.2461 0.7452
0.7539 0.7539 0.2548
0.8348 0.8348 0.0015
0.3327 0.3327 0.4985
0.4164 0.4164 0.2518
0.5000 0.5000 0.0000
0.5836 0.5836 0.7482
0.6673 0.6673 0.5015
```


# 2
Density functional theory data (PBE) for Nd2Er2Sc3 after structural relaxation.

Summary:
For the density, the calculation gives 6.084 g/cm³. As for the crystal system: cubic. The formation energy comes out at 0.221 eV per atom.

```
Nd2Er2Sc3
1.0
-4.6939 4.6939 4.6939
4.6939 -4.6939 4.6939
4.6939 4.6939 -4.6939
Nd Er Sc
4 4 6
Direct
0.0000 0.6753 0.5000
0.5000 0.0000 0.6753
0.6753 0.5000 0.0000
0.8247 0.8247 0.8247
0.0000 0.0776 0.5000
0.0776 0.5000 0.0000
0.4224 0.4224 0.4224
0.5000 0.0000 0.0776
0.2046 0.9546 0.2500
0.2500 0.2046 0.9546
0.2954 0.5454 0.7500
0.5454 0.7500 0.2954
0.7500 0.2954 0.5454
0.9546 0.2500 0.2046
```


# 3
Density functional theory data (PBE) for Nd2ErSc6 after structural relaxation.

Summary:
For the density, the calculation gives 4.895 g/cm³. As for the crystal system: monoclinic. The formation energy comes out at 0.073 eV per atom.

```
Nd2ErSc6
1.0
8.0361 -4.6396 0.0000
8.0361 4.6396 0.0000
-0.0056 0.0000 3.3006
Nd Er Sc
2 1 6
Direct
0.1666 0.1666 0.0001
0.8334 0.8334 0.9999
0.5000 0.5000 0.0000
0.1694 0.4999 0.4995
0.1694 0.8306 0.5000
0.4999 0.1694 0.4995
0.5001 0.8306 0.5005
0.8306 0.1694 0.5000
0.8306 0.5001 0.5005
```


# 4
Density functional theory data (PBE) for Nd8Er2Sc after structural relaxation.

Summary:
For the density, the calculation gives 6.834 g/cm³. As for the crystal system: orthorhombic. Its energy above the most stable polymorph in this dataset is 0 meV per atom. The formation energy comes out at 0.112 eV per atom.

```
Nd8Er2Sc
1.0
-2.8583 3.9877 8.1722
2.8583 -3.9877 8.1722
2.8583 3.9877 -8.1722
Nd Er Sc
8 2 1
Direct
0.1602 0.3688 0.7914
0.1688 0.1688 0.0000
0.2808 0.0000 0.2808
0.4226 0.6312 0.7914
0.5774 0.3688 0.2086
0.7192 0.0000 0.7192
0.8312 0.8312 0.0000
0.8398 0.6312 0.2086
0.3008 0.8008 0.5000
0.6992 0.1992 0.5000
0.0000 0.5000 0.5000
```


# 5
Density functional theory data (PBE) for Nd8Er2Sc3 after structural relaxation.

Summary:
For the density, the calculation gives 6.428 g/cm³. As for the crystal system: triclinic. Its energy above the most stable polymorph in this dataset is 0 meV per atom. The formation energy comes out at 0.129 eV per atom.

```
Nd8Er2Sc3
1.0
6.1095 0.0000 0.0000
-1.9166 7.2996 0.0000
-0.3504 -0.3483 9.4033
Nd Er Sc
8 2 3
Direct
0.1209 0.1756 0.3980
0.2004 0.6190 0.3827
0.2225 0.4184 0.0585
0.2437 0.9228 0.0893
0.7563 0.0772 0.9107
0.7775 0.5816 0.9415
0.7996 0.3810 0.6173
0.8791 0.8244 0.6020
0.3235 0.6764 0.7523
0.6765 0.3236 0.2477
0.2886 0.1983 0.7560
0.5000 0.0000 0.5000
0.7114 0.8017 0.2440
```


# 6
Density functional theory data (PBE) for NdEr7Sc2 after structural relaxation.

Summary:
For the density, the calculation gives 6.383 g/cm³. As for the crystal system: orthorhombic. Its energy above the most stable polymorph in this dataset is 625 meV per atom. The formation energy comes out at 0.668 eV per atom.

```
NdEr7Sc2
1.0
4.3622 -7.5370 0.0000
4.3622 7.5370 0.0000
0.0000 0.0000 5.5586
Nd Er Sc
1 7 2
Direct
0.0000 0.0000 0.0000
0.0590 0.3022 0.5000
0.2394 0.7607 0.0000
0.3022 0.0590 0.5000
0.5000 0.5000 0.5000
0.6978 0.9410 0.5000
0.7607 0.2394 0.0000
0.9410 0.6978 0.5000
0.2962 0.7038 0.5000
0.7038 0.2962 0.5000
```


# 7
Density functional theory data (PBE) for NdEr2Sc after structural relaxation.

Summary:
For the density, the calculation gives 7.207 g/cm³. As for the crystal system: tetragonal. Its energy above the most stable polymorph in this dataset is 22 meV per atom. The formation energy comes out at 0.049 eV per atom.

```
NdEr2Sc
1.0
3.4960 0.0000 0.0000
0.0000 3.4960 0.0000
0.0000 0.0000 9.8734
Nd Er Sc
1 2 1
Direct
0.0000 0.0000 0.0000
0.5000 0.5000 0.2657
0.5000 0.5000 0.7343
0.0000 0.0000 0.5000
```


# 8
Density functional theory data (PBE) for NdEr5Sc4 after structural relaxation.

Summary:
For the density, the calculation gives 6.536 g/cm³. As for the crystal system: tetragonal. Its energy above the most stable polymorph in this dataset is 46 meV per atom. The formation energy comes out at 0.337 eV per atom.

```
NdEr5Sc4
1.0
-4.8961 4.8961 3.0746
4.8961 -4.8961 3.0746
4.8961 4.8961 -3.0746
Nd Er Sc
1 5 4
Direct
0.0000 0.0000 0.0000
0.4557 0.4557 0.0000
0.4813 0.8723 0.9014
0.5799 0.4813 0.6090
0.8723 0.9709 0.3910
0.9709 0.5799 0.0986
0.1723 0.8706 0.5844
0.2862 0.5879 0.4156
0.5879 0.1723 0.3017
0.8706 0.2862 0.6983
```